NpFeP2: optimized geometry, PBE.

Cell and atoms, written as CIF:
```
data_NpFeP2
_space_group_name_H-M_alt 'P 1'
_space_group_IT_number 1
_space_group_name_Hall 'P 1'
_cell_length_a 3.839
_cell_length_b 3.839
_cell_length_c 8.880
_cell_angle_alpha 90.00
_cell_angle_beta 90.00
_cell_angle_gamma 90.00
loop_
_atom_site_label
_atom_site_type_symbol
_atom_site_fract_x
_atom_site_fract_y
_atom_site_fract_z
Np1 Np 0.000 0.000 0.000
Np2 Np 0.500 0.500 0.500
Fe1 Fe 0.000 0.500 0.750
Fe2 Fe 0.500 0.000 0.250
P1 P 0.000 0.000 0.371
P2 P 0.000 0.000 0.629
P3 P 0.500 0.500 0.129
P4 P 0.500 0.500 0.871
```

Calculated values
ΔH_f (0 K): -620.5 meV/atom
ΔE to the lowest computed polymorph: 0.0709 eV/atom

***

NpFe4P12: optimized geometry, PBE.

Cell and atoms, written as CIF:
```
data_NpFe4P12
_space_group_name_H-M_alt 'P 1'
_space_group_IT_number 1
_space_group_name_Hall 'P 1'
_cell_length_a 6.721
_cell_length_b 6.721
_cell_length_c 6.721
_cell_angle_alpha 109.47
_cell_angle_beta 109.47
_cell_angle_gamma 109.47
loop_
_atom_site_label
_atom_site_type_symbol
_atom_site_fract_x
_atom_site_fract_y
_atom_site_fract_z
Np1 Np 0.000 0.000 0.000
Fe1 Fe 0.000 0.000 0.500
Fe2 Fe 0.000 0.500 0.000
Fe3 Fe 0.500 0.000 0.000
Fe4 Fe 0.500 0.500 0.500
P1 P 0.151 0.501 0.349
P2 P 0.151 0.802 0.651
P3 P 0.198 0.349 0.849
P4 P 0.349 0.151 0.501
P5 P 0.349 0.849 0.198
P6 P 0.499 0.651 0.849
P7 P 0.501 0.349 0.151
P8 P 0.651 0.151 0.802
P9 P 0.651 0.849 0.499
P10 P 0.802 0.651 0.151
P11 P 0.849 0.198 0.349
P12 P 0.849 0.499 0.651
```

Calculated values
ΔH_f (0 K): -566.3 meV/atom

***

NpFeP2: optimized geometry, PBE.

Cell and atoms, written as CIF:
```
data_NpFeP2
_space_group_name_H-M_alt 'P 1'
_space_group_IT_number 1
_space_group_name_Hall 'P 1'
_cell_length_a 3.566
_cell_length_b 3.566
_cell_length_c 17.960
_cell_angle_alpha 90.00
_cell_angle_beta 90.00
_cell_angle_gamma 120.00
loop_
_atom_site_label
_atom_site_type_symbol
_atom_site_fract_x
_atom_site_fract_y
_atom_site_fract_z
Np1 Np 0.000 0.000 0.000
Np2 Np 0.333 0.667 0.667
Np3 Np 0.667 0.333 0.333
Fe1 Fe 0.000 0.000 0.823
Fe2 Fe 0.333 0.667 0.490
Fe3 Fe 0.667 0.333 0.157
P1 P 0.000 0.000 0.434
P2 P 0.000 0.000 0.559
P3 P 0.333 0.667 0.100
P4 P 0.333 0.667 0.226
P5 P 0.667 0.333 0.767
P6 P 0.667 0.333 0.892
```

Calculated values
ΔH_f (0 K): -462.2 meV/atom
ΔE to the lowest computed polymorph: 0.2292 eV/atom

***

NpFeP: optimized geometry, PBE.

Cell and atoms, written as CIF:
```
data_NpFeP
_space_group_name_H-M_alt 'P 1'
_space_group_IT_number 1
_space_group_name_Hall 'P 1'
_cell_length_a 5.524
_cell_length_b 5.613
_cell_length_c 6.238
_cell_angle_alpha 90.00
_cell_angle_beta 98.50
_cell_angle_gamma 90.00
loop_
_atom_site_label
_atom_site_type_symbol
_atom_site_fract_x
_atom_site_fract_y
_atom_site_fract_z
Np1 Np 0.212 0.000 0.166
Np2 Np 0.288 0.500 0.834
Np3 Np 0.712 0.500 0.166
Np4 Np 0.788 0.000 0.834
Fe1 Fe 0.000 0.261 0.500
Fe2 Fe 0.000 0.739 0.500
Fe3 Fe 0.500 0.239 0.500
Fe4 Fe 0.500 0.761 0.500
P1 P 0.227 0.500 0.286
P2 P 0.273 0.000 0.714
P3 P 0.727 0.000 0.286
P4 P 0.773 0.500 0.714
```

Calculated values
ΔH_f (0 K): -577.1 meV/atom

***

PuNpFe2P2: optimized geometry, PBE.

Cell and atoms, written as CIF:
```
data_PuNpFe2P2
_space_group_name_H-M_alt 'P 1'
_space_group_IT_number 1
_space_group_name_Hall 'P 1'
_cell_length_a 3.851
_cell_length_b 3.851
_cell_length_c 7.602
_cell_angle_alpha 90.00
_cell_angle_beta 90.00
_cell_angle_gamma 120.00
loop_
_atom_site_label
_atom_site_type_symbol
_atom_site_fract_x
_atom_site_fract_y
_atom_site_fract_z
Pu1 Pu 0.000 0.000 0.000
Np1 Np 0.000 0.000 0.500
Fe1 Fe 0.333 0.667 0.706
Fe2 Fe 0.667 0.333 0.294
P1 P 0.333 0.667 0.237
P2 P 0.667 0.333 0.763
```

Calculated values
ΔH_f (0 K): -647.8 meV/atom

***

NpFeReP2: optimized geometry, PBE.

Cell and atoms, written as CIF:
```
data_NpFeReP2
_space_group_name_H-M_alt 'P 1'
_space_group_IT_number 1
_space_group_name_Hall 'P 1'
_cell_length_a 3.969
_cell_length_b 3.969
_cell_length_c 9.738
_cell_angle_alpha 90.00
_cell_angle_beta 90.00
_cell_angle_gamma 90.00
loop_
_atom_site_label
_atom_site_type_symbol
_atom_site_fract_x
_atom_site_fract_y
_atom_site_fract_z
Np1 Np 0.000 0.000 0.000
Np2 Np 0.500 0.500 0.500
Fe1 Fe 0.000 0.500 0.250
Fe2 Fe 0.500 0.000 0.750
Re1 Re 0.000 0.500 0.750
Re2 Re 0.500 0.000 0.250
P1 P 0.000 0.000 0.373
P2 P 0.000 0.000 0.627
P3 P 0.500 0.500 0.127
P4 P 0.500 0.500 0.873
```

Calculated values
ΔH_f (0 K): -508.3 meV/atom

***

NpFeP2Rh2: optimized geometry, PBE.

Cell and atoms, written as CIF:
```
data_NpFeP2Rh2
_space_group_name_H-M_alt 'P 1'
_space_group_IT_number 1
_space_group_name_Hall 'P 1'
_cell_length_a 3.755
_cell_length_b 7.847
_cell_length_c 6.099
_cell_angle_alpha 90.00
_cell_angle_beta 90.00
_cell_angle_gamma 90.00
loop_
_atom_site_label
_atom_site_type_symbol
_atom_site_fract_x
_atom_site_fract_y
_atom_site_fract_z
Np1 Np 0.000 0.048 0.000
Np2 Np 0.000 0.952 0.500
Fe1 Fe 0.500 0.218 0.663
Fe2 Fe 0.500 0.782 0.163
P1 P 0.000 0.366 0.779
P2 P 0.000 0.634 0.279
P3 P 0.500 0.182 0.297
P4 P 0.500 0.818 0.797
Rh1 Rh 0.000 0.351 0.393
Rh2 Rh 0.000 0.649 0.893
Rh3 Rh 0.500 0.397 0.036
Rh4 Rh 0.500 0.603 0.536
```

Calculated values
ΔH_f (0 K): -592.0 meV/atom

***

NpFeP2Ru2: optimized geometry, PBE.

Cell and atoms, written as CIF:
```
data_NpFeP2Ru2
_space_group_name_H-M_alt 'P 1'
_space_group_IT_number 1
_space_group_name_Hall 'P 1'
_cell_length_a 3.811
_cell_length_b 7.773
_cell_length_c 5.971
_cell_angle_alpha 90.00
_cell_angle_beta 90.00
_cell_angle_gamma 90.00
loop_
_atom_site_label
_atom_site_type_symbol
_atom_site_fract_x
_atom_site_fract_y
_atom_site_fract_z
Np1 Np 0.000 0.056 0.000
Np2 Np 0.000 0.944 0.500
Fe1 Fe 0.500 0.228 0.677
Fe2 Fe 0.500 0.772 0.177
P1 P 0.000 0.374 0.781
P2 P 0.000 0.626 0.281
P3 P 0.500 0.184 0.302
P4 P 0.500 0.816 0.802
Ru1 Ru 0.000 0.342 0.394
Ru2 Ru 0.000 0.658 0.894
Ru3 Ru 0.500 0.418 0.052
Ru4 Ru 0.500 0.582 0.552
```

Calculated values
ΔH_f (0 K): -496.5 meV/atom

***

What did the fourth record say?
NpFeP: optimized geometry, PBE.

Cell and atoms, written as CIF:
```
data_NpFeP
_space_group_name_H-M_alt 'P 1'
_space_group_IT_number 1
_space_group_name_Hall 'P 1'
_cell_length_a 5.524
_cell_length_b 5.613
_cell_length_c 6.238
_cell_angle_alpha 90.00
_cell_angle_beta 98.50
_cell_angle_gamma 90.00
loop_
_atom_site_label
_atom_site_type_symbol
_atom_site_fract_x
_atom_site_fract_y
_atom_site_fract_z
Np1 Np 0.212 0.000 0.166
Np2 Np 0.288 0.500 0.834
Np3 Np 0.712 0.500 0.166
Np4 Np 0.788 0.000 0.834
Fe1 Fe 0.000 0.261 0.500
Fe2 Fe 0.000 0.739 0.500
Fe3 Fe 0.500 0.239 0.500
Fe4 Fe 0.500 0.761 0.500
P1 P 0.227 0.500 0.286
P2 P 0.273 0.000 0.714
P3 P 0.727 0.000 0.286
P4 P 0.773 0.500 0.714
```

Calculated values
ΔH_f (0 K): -577.1 meV/atom